Here is a relaxed structure of CdTeP2O from Alexandria. Energies are from PBE.

Output
- E: -0.2372 Ry per atom
- Crystal system: tetragonal

Cell lengths 5.075, 5.075, 4.033 Å; angles 90.00, 90.00, 90.00 degrees
Sites, in units of the cell vectors:
Cd 0.000 0.000 0.000
Te 0.500 0.500 0.500
P 0.000 0.500 0.000
P 0.500 0.000 0.000
O 0.000 0.000 0.500



Here is a relaxed structure of ReNi from Alexandria. Energies are from PBE.

Output
- Crystal system: cubic
- E_form: 1156 meV/atom

Cell lengths 4.861, 4.861, 4.861 Å; angles 90.00, 90.00, 90.00 degrees
Sites, in units of the cell vectors:
Re 0.000 0.000 0.000
Re 0.000 0.500 0.500
Re 0.500 0.000 0.500
Re 0.500 0.500 0.000
Ni 0.000 0.000 0.500
Ni 0.000 0.500 0.000
Ni 0.500 0.000 0.000
Ni 0.500 0.500 0.500